No. 1
ZnCrFeGe: relaxed, PBE-GGA.

Values from the calculation:
VASP energy: -0.434 Ry per atom
Formation energy: 0.08 eV per atom

The structure in POSCAR format:
```
ZnCrFeGe
1.0
-1.5126 2.1699 3.2207
-3.7998 1.6965 -0.2310
-3.1202 -1.5587 2.2813
Cr Fe Zn Ge
1 1 1 1
direct
0.5000 0.5000 0.5000
0.0000 0.0000 0.0000
0.2500 0.2500 0.2500
0.7500 0.7500 0.7500
```


No. 2
CrFe2H6: relaxed, PBE-GGA.

Values from the calculation:
VASP energy: -0.377 Ry per atom

The structure in POSCAR format:
```
CrFe2H6
1.0
2.7537 0.0000 -0.8897
-0.6061 3.5972 -1.8759
0.1145 0.3172 5.0560
Cr H Fe
1 6 2
direct
0.0000 0.0000 0.0000
0.1683 0.9183 0.3366
0.1683 0.4182 0.3366
0.8317 0.0817 0.6634
0.8317 0.5818 0.6634
0.5000 0.7389 0.0000
0.5000 0.2611 0.0000
0.6709 0.6708 0.3416
0.3291 0.3292 0.6584
```


No. 3
Cr2Fe5H2: relaxed, PBE-GGA.

Values from the calculation:
VASP energy: -0.553 Ry per atom

The structure in POSCAR format:
```
Cr2Fe5H2
1.0
-0.1352 3.3358 -1.2896
-2.6176 -2.8852 -2.2223
-3.8147 1.4040 4.0320
Fe H Cr
5 2 2
direct
0.2874 0.5747 0.8549
0.1390 0.2780 0.4334
0.7126 0.4253 0.1451
0.0000 0.0000 0.0000
0.8610 0.7220 0.5666
0.2057 0.4115 0.1386
0.7943 0.5885 0.8614
0.4306 0.8612 0.2830
0.5694 0.1388 0.7170
```


No. 4
Cr2FeH3: relaxed, PBE-GGA.

Values from the calculation:
VASP energy: -0.455 Ry per atom

The structure in POSCAR format:
```
Cr2FeH3
1.0
2.6968 -0.0033 0.0000
0.0093 7.6722 0.0000
0.0000 0.0000 8.1795
H Fe Cr
12 4 8
direct
0.2500 0.6108 0.0848
0.7500 0.9957 0.0873
0.7500 0.7365 0.4063
0.2500 0.5043 0.5873
0.7500 0.2365 0.0937
0.2500 0.7635 0.9063
0.7500 0.4957 0.4127
0.2500 0.2635 0.5937
0.2500 0.1108 0.4152
0.7500 0.3892 0.9152
0.2500 0.0043 0.9127
0.7500 0.8892 0.5848
0.7500 0.6375 0.5986
0.2500 0.3625 0.4014
0.7500 0.1375 0.9014
0.2500 0.8625 0.0986
0.2500 0.8771 0.4115
0.2500 0.3796 0.7685
0.2500 0.3771 0.0885
0.2500 0.8796 0.7315
0.7500 0.6204 0.2315
0.7500 0.1204 0.2685
0.7500 0.6229 0.9115
0.7500 0.1229 0.5885
```


No. 5
Cr3FeH: relaxed, PBE-GGA.

Values from the calculation:
VASP energy: -0.464 Ry per atom
Offset from the most stable computed form: 8.33 eV per formula unit

The structure in POSCAR format:
```
Cr3FeH
1.0
-0.6820 -3.7939 1.6193
4.0939 -0.8241 -0.2065
0.5065 1.5519 3.8492
Cr H Fe
3 1 1
direct
0.0000 0.5000 0.0000
0.5000 0.0000 0.0000
0.0000 0.0000 0.5000
0.5000 0.5000 0.5000
0.0000 0.0000 0.0000
```


No. 6
Cr3FeH: relaxed, PBE-GGA.

Values from the calculation:
VASP energy: -0.587 Ry per atom
Offset from the most stable computed form: 0.00 eV per formula unit

The structure in POSCAR format:
```
Cr3FeH
1.0
3.6339 0.0000 0.0000
0.0000 3.6339 0.0000
0.0000 0.0000 3.6339
Fe Cr H
1 3 1
direct
0.5000 0.5000 0.5000
0.0000 0.5000 0.0000
0.0000 0.0000 0.5000
0.5000 0.0000 0.0000
0.0000 0.0000 0.0000
```


No. 7
CrFe4H3: relaxed, PBE-GGA.

Values from the calculation:
VASP energy: -0.492 Ry per atom

The structure in POSCAR format:
```
CrFe4H3
1.0
4.5171 0.0000 0.0000
-2.2585 4.0873 -1.6526
0.0000 0.1096 6.6609
H Fe Cr
6 8 2
direct
0.9132 0.7987 0.7870
0.6900 0.4067 0.9013
0.7167 0.4067 0.4013
0.2984 0.5788 0.0792
0.8855 0.7987 0.2870
0.2804 0.5788 0.5792
0.7385 0.8151 0.0387
0.0766 0.8151 0.5387
0.2589 0.1877 0.9357
0.8659 0.3920 0.1362
0.1357 0.5970 0.8377
0.5262 0.3920 0.6362
0.9289 0.1877 0.4357
0.4612 0.5970 0.3377
0.3372 0.0036 0.2340
0.6665 0.0036 0.7340
```


No. 8
Cr2FeH: relaxed, PBE-GGA.

Values from the calculation:
VASP energy: -0.521 Ry per atom
Offset from the most stable computed form: 1.55 eV per formula unit

The structure in POSCAR format:
```
Cr2FeH
1.0
4.2174 0.0000 0.0000
0.0000 4.2174 0.0000
2.1087 2.1087 4.7210
Fe H Cr
2 2 4
direct
0.7500 0.2500 0.5000
0.0000 0.0000 0.0000
0.2500 0.7500 0.5000
0.5000 0.5000 0.0000
0.5021 0.1250 0.2500
0.3750 0.4979 0.7500
0.8750 0.7521 0.7500
0.2479 0.6250 0.2500
```